Here is a geometry-optimized YFeRh2 structure from the Alexandria database. Energies are from GGA-PBE. Values from VASP.

Geometry as Quantum ESPRESSO input:
```
&SYSTEM
  ibrav = 0, nat = 4, ntyp = 3
/
ATOMIC_SPECIES
Rh 102.91 Rh.upf
Fe 55.84 Fe.upf
Y 88.91 Y.upf
CELL_PARAMETERS angstrom
5.2959 -0.0200 -0.0521
2.4486 4.6959 0.0521
-3.6135 -2.7666 2.7090
ATOMIC_POSITIONS crystal
Rh 0.7537 0.2537 0.5000
Rh 0.0138 0.0138 0.0000
Fe 0.2366 0.7366 0.5000
Y 0.4959 0.4959 0.0000
```

## Properties
The density of states at the Fermi level comes out at 4.437 states/eV/cell. The calculation puts the total energy at -7.610 eV/atom. The calculation puts the total magnetization at 3.98 μB per cell.